1.
# Na2SiAgSe4 (GGA-PBE, relaxed)
data_Na2SiAgSe4
_cell_length_a 6.8555
_cell_length_b 6.2840
_cell_length_c 6.2840
_cell_angle_alpha 72.69
_cell_angle_beta 56.94
_cell_angle_gamma 56.94
_symmetry_space_group_name_H-M 'P 1'
_symmetry_Int_Tables_number 1
loop_
_symmetry_equiv_pos_as_xyz
'x,y,z'
loop_
_atom_site_label
_atom_site_type_symbol
_atom_site_fract_x
_atom_site_fract_y
_atom_site_fract_z
Se1 Se 0.5300 0.0000 0.3473
Se2 Se 0.8773 0.0000 0.6527
Se3 Se 0.4700 0.6527 0.0000
Se4 Se 0.1227 0.3473 0.0000
Na1 Na 0.0000 0.5000 0.5000
Na2 Na 0.5000 0.5000 0.5000
Ag1 Ag 0.0000 0.0000 0.0000
Si1 Si 0.5000 0.0000 0.0000
# formation energy without anion corrections: -0.597 eV per atom


2.
# TmPuTi2 (GGA-PBE, relaxed)
data_TmPuTi2
_cell_length_a 3.5627
_cell_length_b 3.5627
_cell_length_c 6.8234
_cell_angle_alpha 90.00
_cell_angle_beta 90.00
_cell_angle_gamma 90.00
_symmetry_space_group_name_H-M 'P 1'
_symmetry_Int_Tables_number 1
loop_
_symmetry_equiv_pos_as_xyz
'x,y,z'
loop_
_atom_site_label
_atom_site_type_symbol
_atom_site_fract_x
_atom_site_fract_y
_atom_site_fract_z
Ti1 Ti 0.0000 0.0000 0.2056
Ti2 Ti 0.0000 0.0000 0.7944
Tm1 Tm 0.5000 0.5000 0.5000
Pu1 Pu 0.5000 0.5000 0.0000
# DFT formation energy: 0.16 eV per atom


3.
# Nd2AlRh (GGA-PBE, relaxed)
data_Nd2AlRh
_cell_length_a 3.6911
_cell_length_b 3.6911
_cell_length_c 7.0370
_cell_angle_alpha 90.00
_cell_angle_beta 90.00
_cell_angle_gamma 90.00
_symmetry_space_group_name_H-M 'P 1'
_symmetry_Int_Tables_number 1
loop_
_symmetry_equiv_pos_as_xyz
'x,y,z'
loop_
_atom_site_label
_atom_site_type_symbol
_atom_site_fract_x
_atom_site_fract_y
_atom_site_fract_z
Rh1 Rh 0.5000 0.5000 0.0000
Al1 Al 0.5000 0.5000 0.5000
Nd1 Nd 0.0000 0.0000 0.7662
Nd2 Nd 0.0000 0.0000 0.2338
# DFT formation energy: -0.49 eV per atom


4.
# HfAlC3 (GGA-PBE, relaxed)
data_HfAlC3
_cell_length_a 3.8292
_cell_length_b 3.8292
_cell_length_c 3.8292
_cell_angle_alpha 90.00
_cell_angle_beta 90.00
_cell_angle_gamma 90.00
_symmetry_space_group_name_H-M 'P 1'
_symmetry_Int_Tables_number 1
loop_
_symmetry_equiv_pos_as_xyz
'x,y,z'
loop_
_atom_site_label
_atom_site_type_symbol
_atom_site_fract_x
_atom_site_fract_y
_atom_site_fract_z
Hf1 Hf 0.5000 0.5000 0.5000
C1 C 0.5000 0.0000 0.0000
C2 C 0.0000 0.0000 0.5000
C3 C 0.0000 0.5000 0.0000
Al1 Al 0.0000 0.0000 0.0000
# DFT formation energy: 1.41 eV per atom


5.
# NaCdCl3 (GGA-PBE, relaxed)
data_NaCdCl3
_cell_length_a 3.8883
_cell_length_b 7.0928
_cell_length_c 5.4351
_cell_angle_alpha 67.39
_cell_angle_beta 90.00
_cell_angle_gamma 105.92
_symmetry_space_group_name_H-M 'P 1'
_symmetry_Int_Tables_number 1
loop_
_symmetry_equiv_pos_as_xyz
'x,y,z'
loop_
_atom_site_label
_atom_site_type_symbol
_atom_site_fract_x
_atom_site_fract_y
_atom_site_fract_z
Cl1 Cl 0.4023 0.1297 0.4472
Cl2 Cl 0.0237 0.3741 0.8247
Cl3 Cl 0.7338 0.7925 0.1164
Na1 Na 0.0633 0.4529 0.2848
Cd1 Cd 0.3776 0.0815 0.9711
# formation energy without anion corrections: -1.351 eV per atom


6.
# HgIrRu2 (GGA-PBE, relaxed)
data_HgIrRu2
_cell_length_a 7.2640
_cell_length_b 7.2640
_cell_length_c 5.7983
_cell_angle_alpha 51.22
_cell_angle_beta 51.22
_cell_angle_gamma 90.00
_symmetry_space_group_name_H-M 'P 1'
_symmetry_Int_Tables_number 1
loop_
_symmetry_equiv_pos_as_xyz
'x,y,z'
loop_
_atom_site_label
_atom_site_type_symbol
_atom_site_fract_x
_atom_site_fract_y
_atom_site_fract_z
Hg1 Hg 0.0000 0.0000 0.0000
Hg2 Hg 0.7500 0.2500 0.5000
Ru1 Ru 0.8750 0.8320 0.7500
Ru2 Ru 0.1680 0.6250 0.2500
Ru3 Ru 0.5820 0.1250 0.2500
Ru4 Ru 0.3750 0.4180 0.7500
Ir1 Ir 0.5000 0.5000 0.0000
Ir2 Ir 0.2500 0.7500 0.5000
# DFT formation energy: 0.88 eV per atom


7.
# BaNb2VS8 (GGA-PBE, relaxed)
data_BaNb2VS8
_cell_length_a 6.2467
_cell_length_b 6.2467
_cell_length_c 9.2726
_cell_angle_alpha 70.32
_cell_angle_beta 70.32
_cell_angle_gamma 60.00
_symmetry_space_group_name_H-M 'P 1'
_symmetry_Int_Tables_number 1
loop_
_symmetry_equiv_pos_as_xyz
'x,y,z'
loop_
_atom_site_label
_atom_site_type_symbol
_atom_site_fract_x
_atom_site_fract_y
_atom_site_fract_z
Ba1 Ba 0.5000 0.5000 0.5000
S1 S 0.0808 0.3527 0.8349
S2 S 0.3527 0.7316 0.8349
S3 S 0.8279 0.8279 0.5162
S4 S 0.2684 0.9192 0.1651
S5 S 0.9192 0.6473 0.1651
S6 S 0.6473 0.2684 0.1651
S7 S 0.1721 0.1721 0.4838
S8 S 0.7316 0.0808 0.8349
Nb1 Nb 0.7408 0.7408 0.7777
Nb2 Nb 0.2592 0.2592 0.2223
V1 V 0.0000 0.0000 0.0000
# formation energy without anion corrections: -0.879 eV per atom


8.
# Tl2InSbTe4 (GGA-PBE, relaxed)
data_Tl2InSbTe4
_cell_length_a 7.4912
_cell_length_b 7.1576
_cell_length_c 7.1576
_cell_angle_alpha 74.11
_cell_angle_beta 58.45
_cell_angle_gamma 58.45
_symmetry_space_group_name_H-M 'P 1'
_symmetry_Int_Tables_number 1
loop_
_symmetry_equiv_pos_as_xyz
'x,y,z'
loop_
_atom_site_label
_atom_site_type_symbol
_atom_site_fract_x
_atom_site_fract_y
_atom_site_fract_z
Te1 Te 0.4482 0.6299 0.0000
Te2 Te 0.9219 0.0000 0.6299
Te3 Te 0.5518 0.0000 0.3701
Te4 Te 0.0781 0.3701 0.0000
Sb1 Sb 0.0000 0.0000 0.0000
Tl1 Tl 0.5000 0.5000 0.5000
Tl2 Tl 0.0000 0.5000 0.5000
In1 In 0.5000 0.0000 0.0000
# formation energy without anion corrections: -0.229 eV per atom


Number 1: energy -3.703 eV per atom, total moment 0.00 μB per cell. Number 2: energy -8.484 eV per atom, total moment 4.85 μB per cell. Number 3: energy -5.645 eV per atom, total moment 0.00 μB per cell. Number 4: energy -6.861 eV per atom, total moment 0.00 μB per cell. Number 5: energy -2.906 eV per atom, total moment 0.00 μB per cell. Number 6: energy -6.050 eV per atom, total moment 0.00 μB per cell. Number 7: energy -6.229 eV per atom, total moment 1.00 μB per cell. Number 8: energy -3.249 eV per atom, total moment 0.00 μB per cell.